[1]
First-principles (PBE) data for a relaxed NpCuAsO crystal, as listed in Alexandria.

Structure (extended XYZ):
```
8
Lattice="3.861 0.000 0.000 0.000 3.861 0.000 0.000 0.000 8.405" Properties=species:S:1:pos:R:3 pbc="T T T"
Np 0.965 0.965 1.261
Np 2.896 2.896 7.144
Cu 0.965 2.896 4.202
Cu 2.896 0.965 4.202
As 0.965 0.965 5.738
As 2.896 2.896 2.667
O 0.965 2.896 0.000
O 2.896 0.965 0.000
```

The calculation puts the formation energy from raw total energies at -33.45 kcal/mol of atoms. The calculation puts the calculated total energy at -0.596 Ry per atom. The value obtained for the density is 10.38 g/cm3.


[2]
First-principles (PBE) data for a relaxed NpCu2AsP crystal, as listed in Alexandria.

Structure (extended XYZ):
```
5
Lattice="3.753 0.000 0.000 0.000 3.753 0.000 0.000 0.000 6.922" Properties=species:S:1:pos:R:3 pbc="T T T"
Np 0.000 0.000 0.000
Cu 0.000 1.876 2.503
Cu 1.876 0.000 2.503
As 0.000 0.000 4.054
P 1.876 1.876 0.914
```

For the formation energy, the calculation gives -206 meV/atom. The calculation puts the calculated total energy at -0.474 Ry per atom. The value obtained for the density is 8.01 g/cm3.


[3]
First-principles (PBE) data for a relaxed Cu4As3O12 crystal, as listed in Alexandria.

Structure (extended XYZ):
```
19
Lattice="-3.718 3.718 3.718 3.718 -3.718 3.718 3.718 3.718 -3.718" Properties=species:S:1:pos:R:3 pbc="T T T"
Cu 1.859 1.859 -1.859
Cu 1.859 -1.859 1.859
Cu -1.859 1.859 1.859
Cu 1.859 1.859 1.859
As 3.718 0.000 0.000
As 0.000 3.718 0.000
As 0.000 0.000 3.718
O 3.718 2.418 -1.276
O 2.442 0.000 1.300
O 4.994 0.000 1.300
O 1.300 2.442 0.000
O 2.418 -1.276 3.718
O 3.718 2.418 1.276
O 0.000 1.300 2.442
O 1.300 4.994 0.000
O 2.418 1.276 3.718
O -1.276 3.718 2.418
O 1.276 3.718 2.418
O 0.000 1.300 4.994
```

The calculation puts the formation energy from raw total energies at -13.45 kcal/mol of atoms. The calculation puts the calculated total energy at -0.390 Ry per atom. The value obtained for the density is 5.42 g/cm3.